MnBiSe2 | PBE | optimized geometry

Results
**Formation energy from raw total energies**: -0.229 eV per atom
**Final energy**: -5.234 eV per atom
**SG**: P1 (1)

a b c (Å): 4.1420 6.7005 8.1918
angles (deg): 87.86 89.90 86.67
Fractional positions:
Mn 0.0000 0.0000 0.0000
Mn 0.4738 0.3148 0.2120
Bi 0.5240 0.7233 0.0805
Bi 0.9561 0.4166 0.6508
Se 0.4384 0.5614 0.4401
Se 0.4612 0.2342 0.9093
Se 0.8033 0.7913 0.7703
Se 0.9944 0.1060 0.2855